i.
VASP calculation (PBE-GGA) on Pr3Se4 after structural relaxation.

Values from the calculation:
Total magnetic moment: 0.00 μB/f.u.

Cell and atoms, written as CIF:
```
data_Pr3Se4
_space_group_name_H-M_alt 'I -4 3 d'
_space_group_IT_number 220
_space_group_name_Hall 'I -4bd 2c 3'
_cell_length_a 9.012
_cell_length_b 9.012
_cell_length_c 9.012
_cell_angle_alpha 90.00
_cell_angle_beta 90.00
_cell_angle_gamma 90.00
loop_
_atom_site_label
_atom_site_fract_x
_atom_site_fract_y
_atom_site_fract_z
_atom_site_occupancy
Pr1 0.000 0.250 0.375 1
Se1 0.075 0.075 0.075 1
```

---

ii.
VASP calculation (PBE-GGA) on Pr3Se4 after structural relaxation.

Values from the calculation:
Total magnetic moment: 0.00 μB/f.u.

Cell and atoms, written as CIF:
```
data_Pr3Se4
_space_group_name_H-M_alt 'R -3 m'
_space_group_IT_number 166
_space_group_name_Hall '-R 3 2"'
_cell_length_a 4.3238
_cell_length_b 4.3238
_cell_length_c 41.2169
_cell_angle_alpha 90.00
_cell_angle_beta 90.00
_cell_angle_gamma 120.00
loop_
_atom_site_label
_atom_site_fract_x
_atom_site_fract_y
_atom_site_fract_z
_atom_site_occupancy
Pr1 0.0000 0.0000 0.0000 1
Pr2 0.0000 0.0000 0.2440 1
Se1 0.0000 0.0000 0.1238 1
Se2 0.0000 0.0000 0.3758 1
```

---

Result of the stability comparison: i is the most stable of them.

---

i.
VASP calculation (PBE-GGA) on Pr2SiSe after structural relaxation.

Values from the calculation:
Total magnetic moment: 0.00 μB/f.u.

Cell and atoms, written as CIF:
```
data_Pr2SiSe
_space_group_name_H-M_alt 'R 3 m'
_space_group_IT_number 160
_space_group_name_Hall 'R 3 -2"'
_cell_length_a 4.2342
_cell_length_b 4.2342
_cell_length_c 22.2479
_cell_angle_alpha 90.00
_cell_angle_beta 90.00
_cell_angle_gamma 120.00
loop_
_atom_site_label
_atom_site_fract_x
_atom_site_fract_y
_atom_site_fract_z
_atom_site_occupancy
Pr1 0.0000 0.0000 0.0000 1
Pr2 0.0000 0.0000 0.1792 1
Si1 0.0000 0.0000 0.5893 1
Se1 0.0000 0.0000 0.7584 1
```

---

ii.
VASP calculation (PBE-GGA) on Pr2SiSe after structural relaxation.

Values from the calculation:
Total magnetic moment: 0.00 μB/f.u.

Cell and atoms, written as CIF:
```
data_Pr2SiSe
_space_group_name_H-M_alt 'R -3 m'
_space_group_IT_number 166
_space_group_name_Hall '-R 3 2"'
_cell_length_a 4.2859
_cell_length_b 4.2859
_cell_length_c 21.3048
_cell_angle_alpha 90.00
_cell_angle_beta 90.00
_cell_angle_gamma 120.00
loop_
_atom_site_label
_atom_site_fract_x
_atom_site_fract_y
_atom_site_fract_z
_atom_site_occupancy
Pr1 0.0000 0.0000 0.2467 1
Si1 0.0000 0.0000 0.5000 1
Se1 0.0000 0.0000 0.0000 1
```

---

Result of the stability comparison: ii is the most stable of them.

---

i.
VASP calculation (PBE-GGA) on Pr2SiSe after structural relaxation.

Values from the calculation:
Total magnetic moment: 0.00 μB/f.u.

Cell and atoms, written as CIF:
```
data_Pr2SiSe
_space_group_name_H-M_alt 'P m m n'
_space_group_IT_number 59
_cell_length_a 4.284
_cell_length_b 6.059
_cell_length_c 8.676
_cell_angle_alpha 90.00
_cell_angle_beta 90.00
_cell_angle_gamma 90.00
loop_
_space_group_symop_operation_xyz
'x,y,z'
'-x,-y,-z'
'-x+1/2,-y+1/2,z'
'x+1/2,y+1/2,-z'
'x+1/2,-y,-z'
'-x+1/2,y,z'
'-x,y+1/2,-z'
'x,-y+1/2,z'
loop_
_atom_site_label
_atom_site_fract_x
_atom_site_fract_y
_atom_site_fract_z
_atom_site_occupancy
Pr1 0.250 0.250 0.121 1
Pr2 0.250 0.250 0.635 1
Si1 0.250 0.750 0.127 1
Se1 0.250 0.750 0.621 1
```

---

ii.
VASP calculation (PBE-GGA) on Pr2SiSe after structural relaxation.

Values from the calculation:
Total magnetic moment: 0.00 μB/f.u.

Cell and atoms, written as CIF:
```
data_Pr2SiSe
_space_group_name_H-M_alt 'P 4/m m m'
_space_group_IT_number 123
_space_group_name_Hall '-P 4 2'
_cell_length_a 4.287
_cell_length_b 4.287
_cell_length_c 6.049
_cell_angle_alpha 90.00
_cell_angle_beta 90.00
_cell_angle_gamma 90.00
loop_
_atom_site_label
_atom_site_fract_x
_atom_site_fract_y
_atom_site_fract_z
_atom_site_occupancy
Pr1 0.000 0.000 0.000 1
Pr2 0.500 0.500 0.500 1
Si1 0.000 0.000 0.500 1
Se1 0.500 0.500 0.000 1
```

---

Result of the stability comparison: ii is the most stable of them.

---

i.
VASP calculation (PBE-GGA) on PrSiSe3 after structural relaxation.

Values from the calculation:
Total magnetic moment: 0.00 μB/f.u.

Cell and atoms, written as CIF:
```
data_PrSiSe3
_space_group_name_H-M_alt 'P n a 21'
_space_group_IT_number 33
_cell_length_a 8.207
_cell_length_b 6.649
_cell_length_c 9.253
_cell_angle_alpha 90.00
_cell_angle_beta 90.00
_cell_angle_gamma 90.00
loop_
_space_group_symop_operation_xyz
'x,y,z'
'-x,-y,z+1/2'
'-x+1/2,y+1/2,z+1/2'
'x+1/2,-y+1/2,z'
loop_
_atom_site_label
_atom_site_fract_x
_atom_site_fract_y
_atom_site_fract_z
_atom_site_occupancy
Pr1 0.114 0.039 0.000 1
Si1 0.075 0.529 0.230 1
Se1 0.028 0.400 0.486 1
Se2 0.174 0.843 0.302 1
Se3 0.184 0.841 0.696 1
```

---

ii.
VASP calculation (PBE-GGA) on PrSiSe3 after structural relaxation.

Values from the calculation:
Total magnetic moment: 0.00 μB/f.u.

Cell and atoms, written as CIF:
```
data_PrSiSe3
_space_group_name_H-M_alt 'P 1 21/c 1'
_space_group_IT_number 14
_cell_length_a 6.949
_cell_length_b 7.873
_cell_length_c 11.630
_cell_angle_alpha 90.00
_cell_angle_beta 124.35
_cell_angle_gamma 90.00
loop_
_space_group_symop_operation_xyz
'x,y,z'
'-x,-y,-z'
'-x,y+1/2,-z+1/2'
'x,-y+1/2,z+1/2'
loop_
_atom_site_label
_atom_site_fract_x
_atom_site_fract_y
_atom_site_fract_z
_atom_site_occupancy
Pr1 0.213 0.126 0.252 1
Si1 0.142 0.599 0.066 1
Se1 0.077 0.181 0.934 1
Se2 0.287 0.688 0.941 1
Se3 0.413 0.019 0.776 1
```

---

Result of the stability comparison: ii is the most stable of them.

---

i.
VASP calculation (PBE-GGA) on Pr4Sm3Se8 after structural relaxation.

Values from the calculation:
Total magnetic moment: 0.00 μB/f.u.

Cell and atoms, written as CIF:
```
data_Pr4Sm3Se8
_space_group_name_H-M_alt 'R -3 m'
_space_group_IT_number 166
_space_group_name_Hall '-R 3 2"'
_cell_length_a 8.3062
_cell_length_b 8.3062
_cell_length_c 23.2329
_cell_angle_alpha 90.00
_cell_angle_beta 90.00
_cell_angle_gamma 120.00
loop_
_atom_site_label
_atom_site_fract_x
_atom_site_fract_y
_atom_site_fract_z
_atom_site_occupancy
Pr1 0.0000 0.0000 0.0000 1
Pr2 0.0000 0.0000 0.1459 1
Pr3 0.0000 0.0000 0.5000 1
Sm1 0.0000 0.5000 0.0000 1
Se1 0.0000 0.0000 0.2677 1
Se2 0.0077 0.5039 0.2533 1
```

---

ii.
VASP calculation (PBE-GGA) on Pr4Sm3Se8 after structural relaxation.

Values from the calculation:
Total magnetic moment: 0.00 μB/f.u.

Cell and atoms, written as CIF:
```
data_Pr4Sm3Se8
_space_group_name_H-M_alt 'C 1 2/m 1'
_space_group_IT_number 12
_cell_length_a 11.904
_cell_length_b 11.906
_cell_length_c 8.409
_cell_angle_alpha 90.00
_cell_angle_beta 134.92
_cell_angle_gamma 90.00
loop_
_space_group_symop_operation_xyz
'x,y,z'
'-x,-y,-z'
'-x,y,-z'
'x,-y,z'
'x+1/2,y+1/2,z'
'-x+1/2,-y+1/2,-z'
'-x+1/2,y+1/2,-z'
'x+1/2,-y+1/2,z'
loop_
_atom_site_label
_atom_site_fract_x
_atom_site_fract_y
_atom_site_fract_z
_atom_site_occupancy
Pr1 0.000 0.000 0.000 1
Pr2 0.000 0.500 0.500 1
Pr3 0.250 0.250 0.000 1
Sm1 0.000 0.500 0.000 1
Sm2 0.250 0.250 0.500 1
Se1 0.000 0.245 0.500 1
Se2 0.000 0.253 0.000 1
Se3 0.248 0.000 0.505 1
Se4 0.248 0.000 0.991 1
```

---

Result of the stability comparison: ii is the most stable of them.

---

i.
VASP calculation (PBE-GGA) on Pr2SmSe4 after structural relaxation.

Values from the calculation:
Total magnetic moment: 0.00 μB/f.u.

Cell and atoms, written as CIF:
```
data_Pr2SmSe4
_space_group_name_H-M_alt 'C m c m'
_space_group_IT_number 63
_space_group_name_Hall '-C 2c 2'
_cell_length_a 4.094
_cell_length_b 14.096
_cell_length_c 14.202
_cell_angle_alpha 90.00
_cell_angle_beta 90.00
_cell_angle_gamma 90.00
loop_
_atom_site_label
_atom_site_fract_x
_atom_site_fract_y
_atom_site_fract_z
_atom_site_occupancy
Pr1 0.000 0.130 0.071 1
Sm1 0.000 0.373 0.250 1
Se1 0.000 0.023 0.250 1
Se2 0.000 0.221 0.625 1
Se3 0.000 0.500 0.000 1
```

---

ii.
VASP calculation (PBE-GGA) on Pr2SmSe4 after structural relaxation.

Values from the calculation:
Total magnetic moment: 0.00 μB/f.u.

Cell and atoms, written as CIF:
```
data_Pr2SmSe4
_space_group_name_H-M_alt 'I m m a'
_space_group_IT_number 74
_space_group_name_Hall '-I 2b 2'
_cell_length_a 8.450
_cell_length_b 8.513
_cell_length_c 11.793
_cell_angle_alpha 90.00
_cell_angle_beta 90.00
_cell_angle_gamma 90.00
loop_
_atom_site_label
_atom_site_fract_x
_atom_site_fract_y
_atom_site_fract_z
_atom_site_occupancy
Pr1 0.000 0.000 0.000 1
Pr2 0.250 0.250 0.250 1
Sm1 0.250 0.250 0.750 1
Se1 0.000 0.005 0.744 1
Se2 0.248 0.250 0.998 1
```

---

Result of the stability comparison: ii is the most stable of them.

---

i.
VASP calculation (PBE-GGA) on Pr2SmSe after structural relaxation.

Values from the calculation:
Total magnetic moment: 0.00 μB/f.u.

Cell and atoms, written as CIF:
```
data_Pr2SmSe
_space_group_name_H-M_alt 'R -3 m'
_space_group_IT_number 166
_space_group_name_Hall '-R 3 2"'
_cell_length_a 3.9233
_cell_length_b 3.9233
_cell_length_c 29.6383
_cell_angle_alpha 90.00
_cell_angle_beta 90.00
_cell_angle_gamma 120.00
loop_
_atom_site_label
_atom_site_fract_x
_atom_site_fract_y
_atom_site_fract_z
_atom_site_occupancy
Pr1 0.0000 0.0000 0.2329 1
Sm1 0.0000 0.0000 0.0000 1
Se1 0.0000 0.0000 0.5000 1
```

---

ii.
VASP calculation (PBE-GGA) on Pr2SmSe after structural relaxation.

Values from the calculation:
Total magnetic moment: 0.61 μB/f.u.

Cell and atoms, written as CIF:
```
data_Pr2SmSe
_space_group_name_H-M_alt 'R 3 m'
_space_group_IT_number 160
_space_group_name_Hall 'R 3 -2"'
_cell_length_a 3.9665
_cell_length_b 3.9665
_cell_length_c 29.1589
_cell_angle_alpha 90.00
_cell_angle_beta 90.00
_cell_angle_gamma 120.00
loop_
_atom_site_label
_atom_site_fract_x
_atom_site_fract_y
_atom_site_fract_z
_atom_site_occupancy
Pr1 0.0000 0.0000 0.0000 1
Pr2 0.0000 0.0000 0.2017 1
Sm1 0.0000 0.0000 0.7679 1
Se1 0.0000 0.0000 0.6007 1
```

---

Result of the stability comparison: ii is the most stable of them.

---

i.
VASP calculation (PBE-GGA) on Pr2SnSe after structural relaxation.

Values from the calculation:
Total magnetic moment: 0.00 μB/f.u.

Cell and atoms, written as CIF:
```
data_Pr2SnSe
_space_group_name_H-M_alt 'P 4/m m m'
_space_group_IT_number 123
_space_group_name_Hall '-P 4 2'
_cell_length_a 3.633
_cell_length_b 3.633
_cell_length_c 8.270
_cell_angle_alpha 90.00
_cell_angle_beta 90.00
_cell_angle_gamma 90.00
loop_
_atom_site_label
_atom_site_fract_x
_atom_site_fract_y
_atom_site_fract_z
_atom_site_occupancy
Pr1 0.000 0.000 0.231 1
Sn1 0.500 0.500 0.500 1
Se1 0.500 0.500 0.000 1
```

---

ii.
VASP calculation (PBE-GGA) on Pr2SnSe after structural relaxation.

Values from the calculation:
Total magnetic moment: 0.00 μB/f.u.

Cell and atoms, written as CIF:
```
data_Pr2SnSe
_space_group_name_H-M_alt 'I 41/a m d'
_space_group_IT_number 141
_cell_length_a 6.265
_cell_length_b 6.265
_cell_length_c 12.528
_cell_angle_alpha 90.00
_cell_angle_beta 90.00
_cell_angle_gamma 90.00
loop_
_space_group_symop_operation_xyz
'x,y,z'
'-x,-y,-z'
'-y+1/4,x+3/4,z+1/4'
'y+1/4,-x+3/4,-z+1/4'
'-x+1/2,-y,z+1/2'
'x+1/2,y,-z+1/2'
'y+1/4,-x+1/4,z+3/4'
'-y+1/4,x+1/4,-z+3/4'
'x,-y,-z'
'-x,y,z'
'-y+1/4,-x+1/4,-z+3/4'
'y+1/4,x+1/4,z+3/4'
'-x+1/2,y,-z+1/2'
'x+1/2,-y,z+1/2'
'y+1/4,x+3/4,-z+1/4'
'-y+1/4,-x+3/4,z+1/4'
'x+1/2,y+1/2,z+1/2'
'-x+1/2,-y+1/2,-z+1/2'
'-y+3/4,x+1/4,z+3/4'
'y+3/4,-x+1/4,-z+3/4'
'-x,-y+1/2,z'
'x,y+1/2,-z'
'y+3/4,-x+3/4,z+1/4'
'-y+3/4,x+3/4,-z+1/4'
'x+1/2,-y+1/2,-z+1/2'
'-x+1/2,y+1/2,z+1/2'
'-y+3/4,-x+3/4,-z+1/4'
'y+3/4,x+3/4,z+1/4'
'-x,y+1/2,-z'
'x,-y+1/2,z'
'y+3/4,x+1/4,-z+3/4'
'-y+3/4,-x+1/4,z+3/4'
loop_
_atom_site_label
_atom_site_fract_x
_atom_site_fract_y
_atom_site_fract_z
_atom_site_occupancy
Pr1 0.000 0.250 0.120 1
Sn1 0.000 0.250 0.375 1
Se1 0.000 0.250 0.875 1
```

---

iii.
VASP calculation (PBE-GGA) on Pr2SnSe after structural relaxation.

Values from the calculation:
Total magnetic moment: 0.00 μB/f.u.

Cell and atoms, written as CIF:
```
data_Pr2SnSe
_space_group_name_H-M_alt 'R -3 m'
_space_group_IT_number 166
_space_group_name_Hall '-R 3 2"'
_cell_length_a 4.4016
_cell_length_b 4.4016
_cell_length_c 21.9580
_cell_angle_alpha 90.00
_cell_angle_beta 90.00
_cell_angle_gamma 120.00
loop_
_atom_site_label
_atom_site_fract_x
_atom_site_fract_y
_atom_site_fract_z
_atom_site_occupancy
Pr1 0.0000 0.0000 0.2469 1
Sn1 0.0000 0.0000 0.0000 1
Se1 0.0000 0.0000 0.5000 1
```

---

Result of the stability comparison: ii is the most stable of them.

---

i.
VASP calculation (PBE-GGA) on Pr2SnSe5 after structural relaxation.

Values from the calculation:
Total magnetic moment: 0.00 μB/f.u.

Cell and atoms, written as CIF:
```
data_Pr2SnSe5
_space_group_name_H-M_alt 'C m c m'
_space_group_IT_number 63
_space_group_name_Hall '-C 2c 2'
_cell_length_a 5.673
_cell_length_b 14.574
_cell_length_c 13.657
_cell_angle_alpha 90.00
_cell_angle_beta 90.00
_cell_angle_gamma 90.00
loop_
_atom_site_label
_atom_site_fract_x
_atom_site_fract_y
_atom_site_fract_z
_atom_site_occupancy
Pr1 0.000 0.157 0.070 1
Sn1 0.000 0.165 0.750 1
Se1 0.000 0.041 0.607 1
Se2 0.000 0.284 0.250 1
Se3 0.000 0.294 0.597 1
```

---

ii.
VASP calculation (PBE-GGA) on Pr2SnSe5 after structural relaxation.

Values from the calculation:
Total magnetic moment: 0.00 μB/f.u.

Cell and atoms, written as CIF:
```
data_Pr2SnSe5
_space_group_name_H-M_alt 'P b a m'
_space_group_IT_number 55
_cell_length_a 8.249
_cell_length_b 11.893
_cell_length_c 4.190
_cell_angle_alpha 90.00
_cell_angle_beta 90.00
_cell_angle_gamma 90.00
loop_
_space_group_symop_operation_xyz
'x,y,z'
'-x,-y,-z'
'-x,-y,z'
'x,y,-z'
'x+1/2,-y+1/2,-z'
'-x+1/2,y+1/2,z'
'-x+1/2,y+1/2,-z'
'x+1/2,-y+1/2,z'
loop_
_atom_site_label
_atom_site_fract_x
_atom_site_fract_y
_atom_site_fract_z
_atom_site_occupancy
Pr1 0.068 0.171 0.000 1
Sn1 0.000 0.500 0.500 1
Se1 0.000 0.000 0.500 1
Se2 0.151 0.705 0.500 1
Se3 0.192 0.425 0.000 1
```

---

Result of the stability comparison: ii is the most stable of them.

---

i.
VASP calculation (PBE-GGA) on SrPrSe2 after structural relaxation.

Values from the calculation:
Total magnetic moment: 0.00 μB/f.u.

Cell and atoms, written as CIF:
```
data_SrPrSe2
_space_group_name_H-M_alt 'P 63/m m c'
_space_group_IT_number 194
_space_group_name_Hall '-P 6c 2c'
_cell_length_a 4.2716
_cell_length_b 4.2716
_cell_length_c 14.7375
_cell_angle_alpha 90.00
_cell_angle_beta 90.00
_cell_angle_gamma 120.00
loop_
_atom_site_label
_atom_site_fract_x
_atom_site_fract_y
_atom_site_fract_z
_atom_site_occupancy
Sr1 0.3333 0.6667 0.2500 1
Pr1 0.0000 0.0000 0.0000 1
Se1 0.3333 0.6667 0.6198 1
```

---

ii.
VASP calculation (PBE-GGA) on SrPrSe2 after structural relaxation.

Values from the calculation:
Total magnetic moment: 0.00 μB/f.u.

Cell and atoms, written as CIF:
```
data_SrPrSe2
_space_group_name_H-M_alt 'C 1 2/m 1'
_space_group_IT_number 12
_cell_length_a 7.454
_cell_length_b 4.302
_cell_length_c 7.640
_cell_angle_alpha 90.00
_cell_angle_beta 108.90
_cell_angle_gamma 90.00
loop_
_space_group_symop_operation_xyz
'x,y,z'
'-x,-y,-z'
'-x,y,-z'
'x,-y,z'
'x+1/2,y+1/2,z'
'-x+1/2,-y+1/2,-z'
'-x+1/2,y+1/2,-z'
'x+1/2,-y+1/2,z'
loop_
_atom_site_label
_atom_site_fract_x
_atom_site_fract_y
_atom_site_fract_z
_atom_site_occupancy
Sr1 0.000 0.000 0.000 1
Pr1 0.000 0.500 0.500 1
Se1 0.248 0.000 0.744 1
```

---

Result of the stability comparison: ii is the most stable of them.